Fe2AgSb, PBEsol geometry, DFT meta-GGA SCAN; symmetry = Pmmm, No. 47; raw formation energy = 406.6 meV/atom; total energy = -25.82 eV per atom; total magnetic moment = 5.54 μB per formula unit; V = 15.22 Å³ per atom
1.0
3.294 0.000 0.000
0.000 3.312 0.000
0.000 0.000 5.581
Fe Ag Sb
2 1 1
Direct
0.000 0.000 0.235
0.000 0.000 0.765
0.500 0.500 0.500
0.500 0.500 0.000


Fe2AgSb, PBEsol geometry, DFT meta-GGA SCAN; symmetry = Imm2, No. 44; raw formation energy = 297.4 meV/atom; total energy = -25.92 eV per atom; total magnetic moment = 5.27 μB per formula unit; V = 15.16 Å³ per atom
1.0
-1.653 2.131 4.303
1.653 -2.131 4.303
1.653 2.131 -4.303
Fe Ag Sb
2 1 1
Direct
0.000 0.000 0.000
0.798 0.298 0.500
0.535 0.535 0.000
0.260 0.760 0.500